The following is a PBE-GGA calculation of a relaxed structure of CdAuN, from the Alexandria database.

The space group is C2 (No. 5) and the conventional cell measures 3.830, 10.145 and 2.975 Å, with angles of 90.00, 98.80 and 90.00 degrees. The asymmetric unit holds Cd at (0.000, 0.000, 0.000), Au at (0.000, 0.761, 0.500) and N at (0.000, 0.619, 0.000).

The total magnetization is 0.00 μB per atom. Its crystal system is monoclinic. The energy relative to the elements, uncorrected comes out at 0.74 eV/atom.